5
Lattice="4.578 0.000 0.000 0.000 4.578 0.000 0.000 0.000 4.271" Properties=species:S:1:pos:R:3 comment="RbMnN2O | the Alexandria database | GGA+U | optimized geometry" dos_at_fermi_per_ev_fu=2.16 total_energy_ev_per_atom=-3.680 space_group="P4/mmm, No. 123" crystal_system=tetragonal pbc="T T T"
Mn 2.289 2.289 2.136
O 0.000 0.000 2.136
Rb 0.000 0.000 0.000
N 0.000 2.289 0.000
N 2.289 0.000 0.000